Below is a geometry-optimized Nd2Co3 structure, with properties calculated at the PBE level.

Summary:
Crystal system   orthorhombic
VASP energy   -6.236 eV/atom
Space-group type   Cmce, No. 64
Total moment   0.456 μB/atom

Geometry as POSCAR:
```
Nd2Co3
1.0
5.614 -0.014 0.000
-3.491 4.396 0.000
0.000 0.000 7.622
Nd Co
4 6
direct
0.654 0.346 0.907
0.346 0.654 0.093
0.846 0.154 0.407
0.154 0.846 0.593
0.500 0.500 0.500
0.000 0.000 0.000
0.662 0.838 0.750
0.838 0.662 0.250
0.338 0.162 0.250
0.162 0.338 0.750
```

=====

Below is a geometry-optimized NdCo5 structure, with properties calculated at the PBE level.

Summary:
Relative energy among the computed polymorphs   0 meV/atom
Crystal system   hexagonal
Space-group type   P6/mmm, No. 191
Total moment   1.159 μB/atom

Geometry as POSCAR:
```
NdCo5
1.0
2.507 -4.342 0.000
2.507 4.342 0.000
0.000 0.000 3.939
Nd Co
1 5
direct
0.000 0.000 0.000
0.333 0.667 0.000
0.667 0.333 0.000
0.500 0.000 0.500
0.500 0.500 0.500
0.000 0.500 0.500
```

=====

Below is a geometry-optimized Nd5Co6 structure, with properties calculated at the PBE level.

Summary:
Crystal system   orthorhombic
VASP energy   -6.113 eV/atom
Space-group type   Cmmm, No. 65
Total moment   0.260 μB/atom

Geometry as POSCAR:
```
Nd5Co6
1.0
4.169 -0.012 0.002
0.012 3.914 -0.572
-0.006 0.076 14.212
Nd Co
5 6
direct
0.500 0.805 0.610
0.500 0.195 0.390
0.000 0.614 0.227
0.000 0.386 0.773
0.000 0.000 0.000
0.500 0.541 0.082
0.500 0.459 0.918
0.000 0.730 0.460
0.000 0.270 0.540
0.500 0.919 0.838
0.500 0.081 0.162
```

=====

Below is a geometry-optimized NdCo5 structure, with properties calculated at the PBE level.

Summary:
Relative energy among the computed polymorphs   243 meV/atom
Crystal system   orthorhombic
Space-group type   Cmmm, No. 65
Total moment   1.104 μB/atom

Geometry as POSCAR:
```
NdCo5
1.0
-1.565 -2.774 2.130
1.323 -2.622 -2.443
4.191 0.917 4.273
Nd Co
1 5
direct
0.000 0.000 0.000
0.500 0.811 0.622
0.000 0.689 0.378
0.500 0.500 0.000
0.000 0.311 0.622
0.500 0.189 0.378
```